Density functional theory data (PBE) for a relaxed structure of Dy3Mg3Tl2Cd.

The raw total energy comes out at -2.998 eV per atom. Its density is 7875 kg/m³.

The structure belongs to space group Amm2 (No. 38); the cell edges are 4.6185, 13.0952 and 7.5424 Å and the angles 90.00°, 90.00° and 90.00°. The asymmetric unit holds Dy at (0.0000, 0.0000, 0.0000), Dy at (0.0000, 0.2135, 0.6406), Mg at (0.5000, 0.0000, 0.6676), Mg at (0.5000, 0.1198, 0.3076), Tl at (0.5000, 0.1672, 0.9270) and Cd at (0.0000, 0.0000, 0.4289).

=====

Density functional theory data (PBE) for a relaxed structure of Cd2GeP4Pt.

The raw total energy comes out at -4.304 eV per atom. Its density is 5589 kg/m³.

The structure belongs to space group I-4 (No. 82); the cell edges are 5.6851, 5.6851 and 11.3335 Å and the angles 90.00°, 90.00° and 90.00°. The asymmetric unit holds Cd at (0.0000, 0.0000, 0.0000), Cd at (0.0000, 0.5000, 0.2500), Ge at (0.0000, 0.5000, 0.7500), P at (0.2105, 0.2433, 0.6238) and Pt at (0.0000, 0.0000, 0.5000).

=====

Among the records above, which one has the highest raw total energy?
Dy3Mg3Tl2Cd

=====

Among the records above, which one has the lowest density?
Cd2GeP4Pt

=====

Repeat the second record exactly.
Density functional theory data (PBE) for a relaxed structure of Cd2GeP4Pt.

The raw total energy comes out at -4.304 eV per atom. Its density is 5589 kg/m³.

The structure belongs to space group I-4 (No. 82); the cell edges are 5.6851, 5.6851 and 11.3335 Å and the angles 90.00°, 90.00° and 90.00°. The asymmetric unit holds Cd at (0.0000, 0.0000, 0.0000), Cd at (0.0000, 0.5000, 0.2500), Ge at (0.0000, 0.5000, 0.7500), P at (0.2105, 0.2433, 0.6238) and Pt at (0.0000, 0.0000, 0.5000).

=====

Look up the density of the second one.
5589 kg/m³